The following is a PBE-GGA calculation of an optimized crystal structure of InSn2Hg3, from the Alexandria database.

```
InSn2Hg3
1.0
6.021 0.000 0.000
0.000 4.777 0.000
-0.916 0.000 12.295
In Sn Hg
2 4 6
Cartesian
-0.042 1.194 3.001 In
5.147 3.583 9.294 In
0.011 3.583 0.912 Sn
2.382 1.194 7.032 Sn
2.723 3.583 5.263 Sn
5.095 1.194 11.384 Sn
-0.289 3.583 5.118 Hg
2.142 3.583 9.095 Hg
2.088 1.194 11.227 Hg
3.018 3.583 1.068 Hg
2.963 1.194 3.200 Hg
5.394 1.194 7.177 Hg
```

For the mass density, the calculation gives 8.96 g cm⁻³. Its calculated formation energy is 0.0323 eV/atom. The value obtained for the raw total energy is -0.1403 Ry per atom. As for the space group: No. 11.

The following is a PBE-GGA calculation of an optimized crystal structure of EuAg2Bi, from the Alexandria database.

```
EuAg2Bi
1.0
4.647 0.000 0.000
0.000 4.647 0.000
0.000 0.000 4.691
Eu Ag Bi
1 2 1
Cartesian
0.000 0.000 0.000 Eu
0.000 2.323 2.346 Ag
2.323 0.000 2.346 Ag
2.323 2.323 0.000 Bi
```

For the mass density, the calculation gives 9.45 g cm⁻³. Its calculated formation energy is -0.2520 eV/atom. The value obtained for the raw total energy is -0.3834 Ry per atom. As for the space group: No. 123.

The following is a PBE-GGA calculation of an optimized crystal structure of OsRhCl3, from the Alexandria database.

```
OsRhCl3
1.0
4.773 0.000 0.000
0.000 4.773 0.000
0.000 0.000 4.773
Os Rh Cl
1 1 3
Cartesian
0.000 0.000 0.000 Os
2.386 2.386 2.386 Rh
0.000 0.000 2.386 Cl
0.000 2.386 0.000 Cl
2.386 0.000 0.000 Cl
```

For the mass density, the calculation gives 6.10 g cm⁻³. The value obtained for the raw total energy is -0.2840 Ry per atom. Its formation energy from raw total energies is 0.961 eV/atom. As for the space group: No. 221.

The following is a PBE-GGA calculation of an optimized crystal structure of CsK3Cu, from the Alexandria database.

```
CsK3Cu
1.0
8.037 0.000 0.000
0.000 8.037 0.000
0.000 0.000 8.037
Cs K Cu
1 3 1
Cartesian
0.000 0.000 0.000 Cs
0.000 0.000 4.019 K
0.000 4.019 0.000 K
4.019 0.000 0.000 K
4.019 4.019 4.019 Cu
```

For the mass density, the calculation gives 1.00 g cm⁻³. Its calculated formation energy is 0.8154 eV/atom. The value obtained for the raw total energy is -0.0612 Ry per atom. As for the space group: No. 221.

The following is a PBE-GGA calculation of an optimized crystal structure of AcHfP2Rh5, from the Alexandria database.

```
AcHfP2Rh5
1.0
4.134 0.000 0.000
0.000 4.134 0.000
0.000 0.000 10.225
Ac Hf P Rh
1 1 2 5
Cartesian
0.000 0.000 0.000 Ac
2.067 2.067 5.112 Hf
2.067 2.067 2.280 P
2.067 2.067 7.944 P
0.000 2.067 3.269 Rh
0.000 2.067 6.956 Rh
2.067 0.000 3.269 Rh
2.067 0.000 6.956 Rh
2.067 2.067 0.000 Rh
```

For the mass density, the calculation gives 9.33 g cm⁻³. Its calculated formation energy is -0.6339 eV/atom. The value obtained for the raw total energy is -0.5500 Ry per atom. As for the space group: No. 123.

The following is a PBE-GGA calculation of an optimized crystal structure of Pu2CdAu, from the Alexandria database.

```
Pu2CdAu
1.0
0.000 3.707 3.707
3.707 0.000 3.707
3.707 3.707 0.000
Pu Cd Au
2 1 1
Cartesian
1.854 1.854 1.854 Pu
5.561 5.561 5.561 Pu
0.000 0.000 0.000 Cd
3.707 3.707 3.707 Au
```

For the mass density, the calculation gives 12.99 g cm⁻³. Its calculated formation energy is -0.1262 eV/atom. The value obtained for the raw total energy is -0.6130 Ry per atom. As for the space group: No. 225.

The following is a PBE-GGA calculation of an optimized crystal structure of Pr3P4Pt2, from the Alexandria database.

```
Pr3P4Pt2
1.0
6.599 -2.063 0.000
6.599 2.063 0.000
-3.217 0.000 7.498
Pr P Pt
3 4 2
Cartesian
0.000 0.000 0.000 Pr
3.615 0.000 1.955 Pr
6.366 0.000 5.543 Pr
-0.818 0.000 2.939 P
1.440 0.000 6.676 P
8.541 0.000 0.821 P
10.799 0.000 4.559 P
3.154 0.000 5.018 Pt
6.827 0.000 2.480 Pt
```

For the mass density, the calculation gives 7.62 g cm⁻³. Its calculated formation energy is -1.1643 eV/atom. The value obtained for the raw total energy is -0.4781 Ry per atom. As for the space group: No. 12.

The following is a PBE-GGA calculation of an optimized crystal structure of LiScCr2, from the Alexandria database.

```
LiScCr2
1.0
-2.238 2.238 3.155
2.238 -2.238 3.155
2.238 2.238 -3.155
Li Sc Cr
1 1 2
Cartesian
0.000 0.000 0.000 Li
0.000 2.238 1.577 Sc
2.238 0.000 1.577 Cr
0.000 0.000 3.155 Cr
```

For the mass density, the calculation gives 4.09 g cm⁻³. Its calculated formation energy is 0.2943 eV/atom. The value obtained for the raw total energy is -0.4835 Ry per atom. As for the space group: No. 119.

The following is a PBE-GGA calculation of an optimized crystal structure of Sc6Bi3Sb, from the Alexandria database.

```
Sc6Bi3Sb
1.0
5.245 -7.100 0.000
5.245 7.100 0.000
0.000 0.000 7.291
Sc Bi Sb
12 6 2
Cartesian
5.245 7.084 3.645 Sc
3.152 3.270 7.234 Sc
5.245 3.553 4.536 Sc
3.464 0.875 4.385 Sc
3.464 -0.875 0.739 Sc
7.338 3.270 7.234 Sc
3.152 -3.270 3.589 Sc
7.026 0.875 4.385 Sc
7.026 -0.875 0.739 Sc
5.245 -3.553 0.890 Sc
7.338 -3.270 3.589 Sc
5.245 -7.084 0.000 Sc
1.981 1.379 1.899 Bi
1.981 -1.379 5.544 Bi
5.245 1.198 6.725 Bi
5.245 -1.198 3.080 Bi
8.508 1.379 1.899 Bi
8.508 -1.379 5.544 Bi
5.245 4.667 1.841 Sb
5.245 -4.667 5.486 Sb
```

For the mass density, the calculation gives 6.23 g cm⁻³. The value obtained for the raw total energy is -0.4307 Ry per atom. Its formation energy from raw total energies is -0.484 eV/atom. As for the space group: No. 36.

The following is a PBE-GGA calculation of an optimized crystal structure of HgIr2Os, from the Alexandria database.

```
HgIr2Os
1.0
-1.383 2.158 5.843
1.383 -2.158 5.843
1.383 2.158 -5.843
Hg Ir Os
1 2 1
Cartesian
0.000 0.000 0.000 Hg
1.383 0.000 3.930 Ir
0.000 0.000 6.889 Ir
0.000 2.158 3.143 Os
```

For the mass density, the calculation gives 18.45 g cm⁻³. Its calculated formation energy is 0.5687 eV/atom. The value obtained for the raw total energy is -0.4957 Ry per atom. As for the space group: No. 44.

The following is a PBE-GGA calculation of an optimized crystal structure of CaCuCl2, from the Alexandria database.

```
CaCuCl2
1.0
0.000 3.519 3.519
3.519 0.000 3.519
3.519 3.519 0.000
Ca Cu Cl
1 1 2
Cartesian
0.000 0.000 0.000 Ca
1.759 1.759 1.759 Cu
3.519 3.519 3.519 Cl
5.278 5.278 5.278 Cl
```

For the mass density, the calculation gives 3.33 g cm⁻³. The value obtained for the raw total energy is -0.2283 Ry per atom. Its formation energy from raw total energies is -0.658 eV/atom. As for the space group: No. 216.

The following is a PBE-GGA calculation of an optimized crystal structure of Ho2PaTl3S6, from the Alexandria database.

```
Ho2PaTl3S6
1.0
3.443 -5.973 0.000
3.443 5.973 0.000
-2.451 0.000 8.049
Ho Pa Tl S
2 1 3 6
Cartesian
3.443 3.989 0.000 Ho
3.443 -3.989 0.000 Ho
3.443 0.000 0.000 Pa
-1.226 0.000 4.024 Tl
2.217 2.107 4.024 Tl
2.217 -2.107 4.024 Tl
-0.146 1.974 6.583 S
1.165 0.000 1.486 S
-0.146 -1.974 6.583 S
4.580 1.974 1.466 S
3.269 0.000 6.563 S
4.580 -1.974 1.466 S
```

For the mass density, the calculation gives 6.85 g cm⁻³. The value obtained for the raw total energy is -0.4083 Ry per atom. Its formation energy from raw total energies is -1.346 eV/atom. As for the space group: No. 12.

Question: Which formula does entry 7 have?
Answer: Pr3P4Pt2

Question: Number 8 is which compound?
Answer: LiScCr2